(1)
A relaxed structure of Ce2Al4Tc, computed with PBE.

Values from the calculation:
Final energy in eV per atom: -5.328
Total magnetic moment in μB/f.u.: 0.178
Formation enthalpy at 0 K in eV/atom: -0.01

Cell and atoms, written as extended XYZ:
```
7
Lattice="2.9466 0.0000 0.0000 0.0000 4.5042 0.0000 0.0000 -2.2521 10.2440" Properties=species:S:1:pos:R:3 pbc="T T T"
Ce 1.4733 0.0000 4.3580
Ce 1.4733 2.2521 5.8860
Al 1.4733 2.2521 2.1728
Al 0.0000 2.2521 8.8642
Al 1.4733 0.0000 8.0713
Al 0.0000 0.0000 1.3799
Tc 0.0000 2.2521 0.0000
```

(2)
A relaxed structure of LiMg2Zn2Cd2, computed with PBE.

Values from the calculation:
Final energy in eV per atom: -1.460
Total magnetic moment in μB/f.u.: 0.000
Formation enthalpy at 0 K in eV/atom: -0.11

Cell and atoms, written as extended XYZ:
```
7
Lattice="-3.9507 -2.0854 0.1364 3.0804 -0.7730 4.1794 -2.6947 5.2515 2.2431" Properties=species:S:1:pos:R:3 pbc="T T T"
Li 0.0000 0.0000 0.0000
Mg -3.6682 2.3216 2.4758
Mg 0.1032 0.0714 4.0831
Zn -0.8780 1.7924 1.9757
Zn -2.6870 0.6006 4.5832
Cd -1.9981 -0.8646 2.1324
Cd -1.5668 3.2576 4.4265
```

(3)
A relaxed structure of Ce3Sm12Au5, computed with PBE.

Values from the calculation:
Final energy in eV per atom: -4.347
Total magnetic moment in μB/f.u.: 7.844
Formation enthalpy at 0 K in eV/atom: 0.19

Cell and atoms, written as extended XYZ:
```
80
Lattice="15.5795 0.0000 0.0000 -5.1932 14.6885 0.0000 -5.1932 -7.3442 12.7206" Properties=species:S:1:pos:R:3 pbc="T T T"
Ce 9.0880 4.5902 1.5901
Ce 9.0880 10.0983 1.5901
Ce -1.2983 6.4262 7.9504
Ce 1.2983 -0.9180 4.7702
Ce 11.6846 0.0000 3.1802
Ce 1.2983 7.3442 3.1802
Ce 3.8949 0.0000 9.5405
Ce -6.4915 7.3442 9.5405
Ce 3.8949 8.2623 7.9504
Ce 6.4915 0.9180 4.7702
Ce -3.8949 -2.7541 11.1305
Ce -3.8949 2.7541 11.1305
Au -1.2983 3.6721 3.1802
Au -2.5966 7.3442 0.0000
Au 0.0000 0.0000 0.0000
Au 3.8949 2.7541 1.5901
Au 5.1932 -3.6721 6.3603
Au 5.1932 7.3442 0.0000
Au -3.8949 8.2623 4.7702
Au 6.4915 -4.5902 11.1305
Au 6.4915 6.4262 4.7702
Au 1.2983 -3.6721 9.5405
Au 3.8949 11.0164 3.1802
Au 2.5966 3.6721 6.3603
Au 7.7897 0.0000 0.0000
Au -2.5966 -3.6721 6.3603
Au -1.2983 0.9180 7.9504
Au -1.2983 11.9344 1.5901
Au -5.1932 3.6721 6.3603
Au 9.0880 -0.9180 7.9504
Au 1.2983 4.5902 11.1305
Au 6.4915 3.6721 9.5405
Sm 10.3223 1.4115 0.5384
Sm 0.0641 4.8441 5.4071
Sm 11.4563 3.5343 3.6159
Sm 6.7197 2.3078 1.4916
Sm 2.1100 5.5675 8.5664
Sm 11.0338 7.1713 2.2061
Sm -1.0700 8.5707 5.1075
Sm -4.1232 12.3807 1.4916
Sm 0.4866 9.1210 8.5664
Sm 7.1423 7.5172 2.2061
Sm 7.8538 3.9116 4.8687
Sm 7.8538 13.2770 0.5384
Sm -4.7065 6.5303 6.8987
Sm 3.2440 5.5202 1.2528
Sm -5.2572 10.7768 4.8687
Sm 2.6607 -2.5001 7.3135
Sm -0.4866 0.9628 2.7444
Sm 3.2440 9.3412 0.9532
Sm 6.7198 11.1542 3.6159
Sm -0.6474 5.3472 0.9532
Sm -3.0832 8.3071 9.9762
Sm 3.6666 6.1178 5.1075
Sm 7.3031 8.1582 6.8987
Sm 5.8406 -1.8240 11.4678
Sm 1.5266 1.2265 7.6131
Sm -2.1100 -0.8139 5.8219
Sm -0.6474 9.1683 1.2528
Sm -1.5266 -3.8100 9.1047
Sm 8.2764 -0.9629 2.7444
Sm 5.8406 1.9970 11.7674
Sm 1.9491 -1.9970 11.7674
Sm 2.5325 9.8444 5.4071
Sm 5.6798 6.3814 9.9762
Sm 10.4504 -3.4326 7.8519
Sm 9.8997 0.8139 5.8219
Sm -2.6607 -5.9327 12.1822
Sm 1.9491 1.8240 11.4678
Sm 4.7065 -1.7768 4.1542
Sm -1.9492 -0.1730 10.5145
Sm -2.6606 3.4326 7.8519
Sm 9.3163 -5.0364 11.2290
Sm 6.2632 -1.2264 7.6131
Sm -1.5266 5.0364 11.2290
Sm -5.8406 0.1730 10.5145
Sm 3.0832 1.7768 4.1542
Sm -6.2632 3.8100 9.1047
Sm 5.1291 2.5001 7.3135
Sm -5.1291 5.9327 12.1822
```